Entry from Alexandria via LeMat-Bulk: a geometry-optimized HfZr2ScO structure (PBE-GGA).

Cell: 4.621 4.621 4.363 Å, 90.00 90.00 90.00°
Fractional positions:
Hf 0.000 0.000 0.000
Zr 0.000 0.500 0.500
Zr 0.500 0.000 0.500
Sc 0.500 0.500 0.000
O 0.500 0.500 0.500

Entry from Alexandria via LeMat-Bulk: a geometry-optimized Hf3SeO structure (PBE-GGA).

Cell: 4.420 4.420 4.420 Å, 90.00 90.00 90.00°
Fractional positions:
Hf 0.000 0.000 0.500
Hf 0.000 0.500 0.000
Hf 0.500 0.000 0.000
Se 0.500 0.500 0.500
O 0.000 0.000 0.000

Entry from Alexandria via LeMat-Bulk: a geometry-optimized HfSeO2 structure (PBE-GGA).

Cell: 6.356 6.356 8.990 Å, 90.00 90.00 90.00°
Fractional positions:
Hf 0.000 0.000 0.000
Hf 0.000 0.500 0.250
Hf 0.500 0.000 0.750
Hf 0.500 0.500 0.500
Se 0.000 0.000 0.500
Se 0.000 0.500 0.750
Se 0.500 0.000 0.250
Se 0.500 0.500 0.000
O 0.002 0.250 0.125
O 0.250 0.502 0.375
O 0.250 0.998 0.875
O 0.498 0.250 0.625
O 0.502 0.750 0.625
O 0.750 0.002 0.875
O 0.750 0.498 0.375
O 0.998 0.750 0.125

Entry from Alexandria via LeMat-Bulk: a geometry-optimized HfSe2O8 structure (PBE-GGA).

Cell: 5.569 5.569 6.557 Å, 90.00 90.00 120.00°
Fractional positions:
Hf 0.000 0.000 0.000
Se 0.333 0.667 0.283
Se 0.667 0.333 0.717
O 0.173 0.346 0.182
O 0.173 0.827 0.182
O 0.333 0.667 0.529
O 0.346 0.173 0.818
O 0.654 0.827 0.182
O 0.667 0.333 0.471
O 0.827 0.173 0.818
O 0.827 0.654 0.818

Entry from Alexandria via LeMat-Bulk: a geometry-optimized HfSeO2 structure (PBE-GGA).

Cell: 3.573 3.573 17.035 Å, 90.00 90.00 120.00°
Fractional positions:
Hf 0.000 0.000 0.000
Hf 0.333 0.667 0.667
Hf 0.667 0.333 0.333
Se 0.000 0.000 0.500
Se 0.333 0.667 0.167
Se 0.667 0.333 0.833
O 0.000 0.000 0.119
O 0.000 0.000 0.881
O 0.333 0.667 0.548
O 0.333 0.667 0.786
O 0.667 0.333 0.214
O 0.667 0.333 0.452

Entry from Alexandria via LeMat-Bulk: a geometry-optimized Hf4SeO structure (PBE-GGA).

Cell: 6.721 6.721 6.721 Å, 106.14 106.14 116.37°
Fractional positions:
Hf 0.141 0.447 0.694
Hf 0.197 0.003 0.806
Hf 0.197 0.391 0.194
Hf 0.271 0.000 0.271
Hf 0.729 0.000 0.729
Hf 0.750 0.521 0.771
Hf 0.750 0.979 0.229
Hf 0.753 0.447 0.306
Se 0.249 0.749 0.500
Se 0.499 0.499 0.000
O 0.712 0.212 0.500
O 0.962 0.962 0.000

Number 1: formation energy (no corrections) -1113 meV per atom. Number 2: formation energy (no corrections) -820 meV per atom. Number 3: formation energy (no corrections) -1946 meV per atom. Number 4: formation energy (no corrections) -1337 meV per atom. Number 5: formation energy (no corrections) -488 meV per atom. Number 6: formation energy (no corrections) -886 meV per atom.